Material: DyHf2Al3Cu2Ni
Method: DFT, PBE
State: optimized geometry

Results
* electronic total energy: -0.4328 Ry/atom

Lattice parameters (Å, degrees): 4.0000 11.4855 6.5941 90.00 90.00 90.00
Space group Amm2 (No. 38)
Symmetry-distinct sites (fractional):
Dy 0.0000 0.0000 0.0000 x2
Hf 0.0000 0.2046 0.3853 x4
Al 0.5000 0.0000 0.3498 x2
Al 0.5000 0.1224 0.7036 x4
Cu 0.5000 0.1717 0.0899 x4
Ni 0.0000 0.0000 0.5734 x2


Material: DyHo2Al3Cu3
Method: DFT, PBE
State: optimized geometry

Results
* electronic total energy: -0.3288 Ry/atom

Lattice parameters (Å, degrees): 3.9938 12.1268 7.0038 90.00 90.00 90.00
Space group Amm2 (No. 38)
Symmetry-distinct sites (fractional):
Dy 0.0000 0.0000 0.0000 x2
Ho 0.0000 0.2072 0.6215 x4
Al 0.5000 0.0000 0.6505 x2
Al 0.5000 0.1182 0.2968 x4
Cu 0.0000 0.0000 0.4153 x2
Cu 0.5000 0.1675 0.9143 x4


Material: Dy2HoAl3Cu3
Method: DFT, PBE
State: optimized geometry

Results
* electronic total energy: -0.3288 Ry/atom

Lattice parameters (Å, degrees): 3.9715 12.1780 7.0284 90.00 90.00 90.00
Space group Amm2 (No. 38)
Symmetry-distinct sites (fractional):
Dy 0.0000 0.2076 0.0000 x4
Ho 0.0000 0.0000 0.6225 x2
Al 0.5000 0.0000 0.9711 x2
Al 0.5000 0.1180 0.3262 x4
Cu 0.0000 0.0000 0.2083 x2
Cu 0.5000 0.1662 0.7076 x4


Material: Dy2HoAl3Cu2Ni
Method: DFT, PBE
State: optimized geometry

Results
* electronic total energy: -0.3478 Ry/atom

Lattice parameters (Å, degrees): 3.9145 12.1719 7.0244 90.00 90.00 90.00
Space group Amm2 (No. 38)
Symmetry-distinct sites (fractional):
Dy 0.0000 0.2064 0.0000 x4
Ho 0.0000 0.0000 0.6188 x2
Al 0.5000 0.0000 0.9739 x2
Al 0.5000 0.1160 0.3227 x4
Cu 0.5000 0.1665 0.7063 x4
Ni 0.0000 0.0000 0.2067 x2


Repeat the fourth record exactly.
Material: Dy2HoAl3Cu2Ni
Method: DFT, PBE
State: optimized geometry

Results
* electronic total energy: -0.3478 Ry/atom

Lattice parameters (Å, degrees): 3.9145 12.1719 7.0244 90.00 90.00 90.00
Space group Amm2 (No. 38)
Symmetry-distinct sites (fractional):
Dy 0.0000 0.2064 0.0000 x4
Ho 0.0000 0.0000 0.6188 x2
Al 0.5000 0.0000 0.9739 x2
Al 0.5000 0.1160 0.3227 x4
Cu 0.5000 0.1665 0.7063 x4
Ni 0.0000 0.0000 0.2067 x2